# 1
# PBE-GGA Tm3Hg4Pb, optimized geometry
data_Tm3Hg4Pb
_chemical_formula_sum 'Tm6 Hg8 Pb2'
_space_group_name_H-M_alt 'C 1 2/m 1'
_space_group_IT_number 12
_cell_length_a 25.110
_cell_length_b 5.006
_cell_length_c 3.652
_cell_angle_alpha 90.00
_cell_angle_beta 98.24
_cell_angle_gamma 90.00
loop_
_space_group_symop_operation_xyz
'x,y,z'
'-x,-y,-z'
'-x,y,-z'
'x,-y,z'
'x+1/2,y+1/2,z'
'-x+1/2,-y+1/2,-z'
'-x+1/2,y+1/2,-z'
'x+1/2,-y+1/2,z'
loop_
_atom_site_label
_atom_site_type_symbol
_atom_site_fract_x
_atom_site_fract_y
_atom_site_fract_z
Tm1 Tm 0.000 0.000 0.000
Tm2 Tm 0.203 0.000 0.202
Hg1 Hg 0.100 0.000 0.599
Hg2 Hg 0.177 0.500 0.676
Pb1 Pb 0.000 0.500 0.500
# Calculated volume in Å³ per cell: 454.3
# Electronic total energy in eV for the cell shown: -40.5
# Crystal system: monoclinic
# DFT formation energy in eV per atom: -0.24

# 2
# PBE-GGA Tm3Hg2Pb, optimized geometry
data_Tm3Hg2Pb
_chemical_formula_sum 'Tm3 Hg2 Pb1'
_space_group_name_H-M_alt 'P 4/m m m'
_space_group_IT_number 123
_space_group_name_Hall '-P 4 2'
_cell_length_a 3.684
_cell_length_b 3.684
_cell_length_c 11.383
_cell_angle_alpha 90.00
_cell_angle_beta 90.00
_cell_angle_gamma 90.00
loop_
_atom_site_label
_atom_site_type_symbol
_atom_site_fract_x
_atom_site_fract_y
_atom_site_fract_z
Tm1 Tm 0.000 0.000 0.000
Tm2 Tm 0.000 0.000 0.318
Hg1 Hg 0.500 0.500 0.156
Pb1 Pb 0.500 0.500 0.500
# Calculated volume in Å³ per cell: 154.5
# Electronic total energy in eV for the cell shown: -20.4
# Crystal system: tetragonal
# DFT formation energy in eV per atom: -0.44

# 3
# PBE-GGA Tm5Hg4Pb, optimized geometry
data_Tm5Hg4Pb
_chemical_formula_sum 'Tm5 Hg4 Pb1'
_space_group_name_H-M_alt 'P 4/m m m'
_space_group_IT_number 123
_space_group_name_Hall '-P 4 2'
_cell_length_a 3.692
_cell_length_b 3.692
_cell_length_c 18.587
_cell_angle_alpha 90.00
_cell_angle_beta 90.00
_cell_angle_gamma 90.00
loop_
_atom_site_label
_atom_site_type_symbol
_atom_site_fract_x
_atom_site_fract_y
_atom_site_fract_z
Tm1 Tm 0.000 0.000 0.000
Tm2 Tm 0.000 0.000 0.196
Tm3 Tm 0.000 0.000 0.391
Hg1 Hg 0.500 0.500 0.100
Hg2 Hg 0.500 0.500 0.292
Pb1 Pb 0.500 0.500 0.500
# Calculated volume in Å³ per cell: 253.4
# Electronic total energy in eV for the cell shown: -31.8
# Crystal system: tetragonal
# DFT formation energy in eV per atom: -0.45

# 4
# PBE-GGA Tm3Hg3Pb4, optimized geometry
data_Tm3Hg3Pb4
_chemical_formula_sum 'Tm12 Hg12 Pb16'
_space_group_name_H-M_alt 'I -4 3 d'
_space_group_IT_number 220
_space_group_name_Hall 'I -4bd 2c 3'
_cell_length_a 10.298
_cell_length_b 10.298
_cell_length_c 10.298
_cell_angle_alpha 90.00
_cell_angle_beta 90.00
_cell_angle_gamma 90.00
loop_
_atom_site_label
_atom_site_type_symbol
_atom_site_fract_x
_atom_site_fract_y
_atom_site_fract_z
Tm1 Tm 0.000 0.250 0.875
Hg1 Hg 0.000 0.250 0.375
Pb1 Pb 0.105 0.395 0.605
# Calculated volume in Å³ per cell: 1092.2
# Electronic total energy in eV for the cell shown: -124.6
# Crystal system: cubic
# DFT formation energy in eV per atom: -0.20

# 5
# PBE-GGA Tm5Hg2Pb2, optimized geometry
data_Tm5Hg2Pb2
_chemical_formula_sum 'Tm20 Hg8 Pb8'
_space_group_name_H-M_alt 'C m c e'
_space_group_IT_number 64
_space_group_name_Hall '-C 2ac 2'
_cell_length_a 15.642
_cell_length_b 8.253
_cell_length_c 7.716
_cell_angle_alpha 90.00
_cell_angle_beta 90.00
_cell_angle_gamma 90.00
loop_
_atom_site_label
_atom_site_type_symbol
_atom_site_fract_x
_atom_site_fract_y
_atom_site_fract_z
Tm1 Tm 0.000 0.000 0.000
Tm2 Tm 0.133 0.175 0.337
Hg1 Hg 0.000 0.133 0.632
Pb1 Pb 0.210 0.000 0.000
# Calculated volume in Å³ per cell: 996.1
# Electronic total energy in eV for the cell shown: -136.3
# Crystal system: orthorhombic
# DFT formation energy in eV per atom: -0.41

# 6
# PBE-GGA Tm4Hg3Pb, optimized geometry
data_Tm4Hg3Pb
_chemical_formula_sum 'Tm8 Hg6 Pb2'
_space_group_name_H-M_alt 'I 4/m m m'
_space_group_IT_number 139
_space_group_name_Hall '-I 4 2'
_cell_length_a 5.212
_cell_length_b 5.212
_cell_length_c 14.977
_cell_angle_alpha 90.00
_cell_angle_beta 90.00
_cell_angle_gamma 90.00
loop_
_atom_site_label
_atom_site_type_symbol
_atom_site_fract_x
_atom_site_fract_y
_atom_site_fract_z
Tm1 Tm 0.000 0.500 0.128
Hg1 Hg 0.000 0.000 0.000
Hg2 Hg 0.000 0.000 0.244
Pb1 Pb 0.000 0.000 0.500
# Calculated volume in Å³ per cell: 406.9
# Electronic total energy in eV for the cell shown: -52.1
# Crystal system: tetragonal
# DFT formation energy in eV per atom: -0.45